This record from Alexandria describes a relaxed KTbHg2Cl8 crystal. The functional is PBE.

Cell lengths 6.797, 6.665, 8.916 Å; angles 75.57, 82.08, 87.79 degrees
Element x y z (fractional)
K (0.000, 0.000, 0.500)
Tb (0.000, 0.000, 0.000)
Hg (0.477, 0.469, 0.736)
Hg (0.523, 0.531, 0.264)
Cl (0.140, 0.749, 0.241)
Cl (0.666, 0.759, 0.024)
Cl (0.821, 0.204, 0.196)
Cl (0.860, 0.251, 0.759)
Cl (0.334, 0.241, 0.976)
Cl (0.179, 0.796, 0.804)
Cl (0.612, 0.731, 0.514)
Cl (0.388, 0.269, 0.486)

As for the crystal system: triclinic. The calculation puts the total magnetization at 0.0 μB/f.u. The density of states at the Fermi level is 0.000 states/eV/atom. The value obtained for the uncorrected formation energy is -1361 meV per atom. For the volume, the calculation gives 387.4 Å³/cell.

---

This record from Alexandria describes a relaxed SmTc2Ge4 crystal. The functional is PBE.

Cell lengths 6.856, 6.856, 6.856 Å; angles 111.13, 106.20, 111.13 degrees
Element x y z (fractional)
Sm (0.000, 0.000, 0.000)
Sm (0.750, 0.500, 0.250)
Tc (0.875, 0.086, 0.461)
Tc (0.539, 0.414, 0.625)
Tc (0.375, 0.914, 0.789)
Tc (0.211, 0.586, 0.125)
Ge (0.189, 0.942, 0.421)
Ge (0.579, 0.768, 0.521)
Ge (0.997, 0.558, 0.729)
Ge (0.271, 0.268, 0.829)
Ge (0.561, 0.732, 0.003)
Ge (0.753, 0.232, 0.811)
Ge (0.479, 0.058, 0.247)
Ge (0.171, 0.442, 0.439)

As for the crystal system: tetragonal. The calculation puts the total magnetization at 0.0 μB/f.u. The density of states at the Fermi level is 0.697 states/eV/atom. Its formation energy is -0.208 eV/atom. For the volume, the calculation gives 247.5 Å³/cell.

---

This record from Alexandria describes a relaxed Tl2HgW crystal. The functional is PBE.

Cell lengths 5.644, 5.644, 5.644 Å; angles 135.59, 135.59, 64.61 degrees
Element x y z (fractional)
Hg (0.750, 0.250, 0.500)
Tl (0.000, 0.000, 0.000)
Tl (0.500, 0.500, 0.000)
W (0.250, 0.750, 0.500)

As for the crystal system: tetragonal. The calculation puts the total magnetization at 0.0 μB/f.u. The density of states at the Fermi level is 0.467 states/eV/atom. Its formation energy is 0.992 eV/atom. For the volume, the calculation gives 86.8 Å³/cell. For the relative energy among the computed polymorphs, the calculation gives 276 meV per atom.

---

This record from Alexandria describes a relaxed Rb2SrCF6 crystal. The functional is PBE.

Cell lengths 6.198, 6.198, 6.198 Å; angles 60.00, 60.00, 90.00 degrees
Element x y z (fractional)
Sr (0.000, 0.000, 0.000)
C (0.500, 0.500, 0.000)
Rb (0.750, 0.250, 0.500)
Rb (0.250, 0.750, 0.500)
F (0.273, 0.273, 0.455)
F (0.727, 0.727, 0.545)
F (0.272, 0.272, 0.000)
F (0.728, 0.728, 0.000)
F (0.728, 0.272, 0.000)
F (0.272, 0.728, 0.000)

As for the crystal system: cubic. The calculation puts the total magnetization at 0.0 μB/f.u. The density of states at the Fermi level is 0.000 states/eV/atom. The value obtained for the uncorrected formation energy is -2087 meV per atom. For the volume, the calculation gives 168.4 Å³/cell.

---

This record from Alexandria describes a relaxed In12Si5Bi3 crystal. The functional is PBE.

Cell lengths 14.675, 14.675, 14.675 Å; angles 109.47, 109.47, 109.47 degrees
Element x y z (fractional)
Bi (0.750, 0.375, 0.125)
Bi (0.875, 0.750, 0.125)
Bi (0.375, 0.750, 0.625)
Bi (0.250, 0.125, 0.375)
Bi (0.875, 0.125, 0.250)
Bi (0.375, 0.625, 0.250)
Bi (0.625, 0.375, 0.750)
Bi (0.125, 0.875, 0.750)
Bi (0.750, 0.875, 0.625)
Bi (0.625, 0.250, 0.375)
Bi (0.125, 0.250, 0.875)
Bi (0.250, 0.625, 0.875)
Si (0.125, 0.375, 0.250)
Si (0.000, 0.500, 0.000)
Si (0.000, 0.000, 0.000)
Si (0.375, 0.250, 0.125)
Si (0.500, 0.000, 0.500)
Si (0.500, 0.500, 0.000)
Si (0.125, 0.750, 0.375)
Si (0.750, 0.125, 0.875)
Si (0.750, 0.625, 0.375)
Si (0.375, 0.125, 0.750)
Si (0.625, 0.875, 0.250)
Si (0.500, 0.500, 0.500)
Si (0.500, 0.000, 0.000)
Si (0.000, 0.000, 0.500)
Si (0.250, 0.375, 0.625)
Si (0.250, 0.875, 0.125)
Si (0.000, 0.500, 0.500)
Si (0.875, 0.250, 0.625)
Si (0.625, 0.750, 0.875)
Si (0.875, 0.625, 0.750)
In (0.711, 0.121, 0.037)
In (0.326, 0.537, 0.416)
In (0.963, 0.379, 0.289)
In (0.537, 0.211, 0.121)
In (0.590, 0.711, 0.674)
In (0.963, 0.584, 0.174)
In (0.326, 0.789, 0.410)
In (0.084, 0.910, 0.121)
In (0.584, 0.963, 0.674)
In (0.711, 0.590, 0.174)
In (0.789, 0.463, 0.379)
In (0.826, 0.916, 0.037)
In (0.121, 0.711, 0.537)
In (0.379, 0.416, 0.090)
In (0.090, 0.916, 0.379)
In (0.410, 0.121, 0.584)
In (0.090, 0.174, 0.211)
In (0.463, 0.674, 0.084)
In (0.826, 0.910, 0.289)
In (0.121, 0.410, 0.084)
In (0.379, 0.963, 0.789)
In (0.584, 0.621, 0.410)
In (0.916, 0.826, 0.537)
In (0.789, 0.326, 0.910)
In (0.416, 0.379, 0.590)
In (0.084, 0.174, 0.463)
In (0.211, 0.674, 0.090)
In (0.174, 0.090, 0.711)
In (0.621, 0.037, 0.211)
In (0.879, 0.590, 0.916)
In (0.537, 0.326, 0.916)
In (0.590, 0.879, 0.416)
In (0.910, 0.826, 0.789)
In (0.910, 0.084, 0.621)
In (0.879, 0.289, 0.463)
In (0.174, 0.084, 0.963)
In (0.621, 0.584, 0.910)
In (0.416, 0.037, 0.326)
In (0.289, 0.410, 0.826)
In (0.211, 0.537, 0.621)
In (0.916, 0.090, 0.879)
In (0.674, 0.211, 0.590)
In (0.463, 0.789, 0.879)
In (0.037, 0.416, 0.826)
In (0.410, 0.289, 0.326)
In (0.037, 0.621, 0.711)
In (0.674, 0.463, 0.584)
In (0.289, 0.879, 0.963)

As for the crystal system: cubic. The calculation puts the total magnetization at 0.0 μB/f.u. The density of states at the Fermi level is 0.653 states/eV/atom. The value obtained for the uncorrected formation energy is 265 meV per atom. For the volume, the calculation gives 2432.6 Å³/cell.

---

This record from Alexandria describes a relaxed NbHgIr3 crystal. The functional is PBE.

Cell lengths 4.797, 4.797, 4.797 Å; angles 90.00, 90.00, 90.00 degrees
Element x y z (fractional)
Nb (0.000, 0.000, 0.000)
Ir (0.000, 0.500, 0.000)
Ir (0.000, 0.000, 0.500)
Ir (0.500, 0.000, 0.000)
Hg (0.500, 0.500, 0.500)

As for the crystal system: cubic. The calculation puts the total magnetization at 0.0 μB/f.u. The density of states at the Fermi level is 0.412 states/eV/atom. Its formation energy is 1.459 eV/atom. For the volume, the calculation gives 110.4 Å³/cell. For the relative energy among the computed polymorphs, the calculation gives 0 meV per atom.

---

This record from Alexandria describes a relaxed NbFeGe crystal. The functional is PBE.

Cell lengths 2.928, 5.375, 2.928 Å; angles 74.20, 90.00, 105.80 degrees
Element x y z (fractional)
Fe (0.033, 0.066, 0.967)
Nb (0.711, 0.423, 0.289)
Ge (0.405, 0.811, 0.595)

As for the crystal system: tetragonal. The calculation puts the total magnetization at 0.0 μB/f.u. The density of states at the Fermi level is 0.913 states/eV/atom. Its formation energy is -0.132 eV/atom. For the volume, the calculation gives 42.5 Å³/cell.

---

This record from Alexandria describes a relaxed Zn2BAs crystal. The functional is PBE.

Cell lengths 4.389, 4.389, 4.389 Å; angles 60.00, 60.00, 60.00 degrees
Element x y z (fractional)
As (0.500, 0.500, 0.500)
B (0.000, 0.000, 0.000)
Zn (0.250, 0.250, 0.250)
Zn (0.750, 0.750, 0.750)

As for the crystal system: cubic. The calculation puts the total magnetization at 0.0 μB/f.u. The density of states at the Fermi level is 0.420 states/eV/atom. Its formation energy is 0.884 eV/atom. For the volume, the calculation gives 59.8 Å³/cell. For the relative energy among the computed polymorphs, the calculation gives 144 meV per atom.

---

This record from Alexandria describes a relaxed NdTl2P2Pd7 crystal. The functional is PBE.

Cell lengths 4.118, 4.118, 13.864 Å; angles 84.62, 84.62, 90.00 degrees
Element x y z (fractional)
Nd (0.000, 0.000, 0.000)
Tl (0.897, 0.897, 0.392)
Tl (0.103, 0.103, 0.608)
P (0.579, 0.579, 0.753)
P (0.421, 0.421, 0.247)
Pd (0.500, 0.500, 0.000)
Pd (0.394, 0.394, 0.414)
Pd (0.606, 0.606, 0.586)
Pd (0.948, 0.449, 0.161)
Pd (0.449, 0.948, 0.161)
Pd (0.551, 0.052, 0.839)
Pd (0.052, 0.551, 0.839)

As for the crystal system: monoclinic. The calculation puts the total magnetization at 0.0 μB/f.u. The density of states at the Fermi level is 0.398 states/eV/atom. Its formation energy is -0.435 eV/atom. For the volume, the calculation gives 233.1 Å³/cell.

---

This record from Alexandria describes a relaxed AlSnRu2 crystal. The functional is PBE.

Cell lengths 5.921, 5.921, 5.921 Å; angles 55.52, 152.09, 133.04 degrees
Element x y z (fractional)
Ru (0.000, 0.227, 0.227)
Ru (0.000, 0.773, 0.773)
Sn (0.000, 0.500, 0.500)
Al (0.000, 0.000, 0.000)

As for the crystal system: orthorhombic. The calculation puts the total magnetization at 0.0 μB/f.u. The density of states at the Fermi level is 1.266 states/eV/atom. Its formation energy is 0.636 eV/atom. For the volume, the calculation gives 70.6 Å³/cell.